The following is a DFT calculation (PBE) of an optimized crystal structure of CuNi3Rh.

DFT total energy: -28.58 eV per formula unit
space group: C2/c, No. 15
relative energy among the computed polymorphs: 0.000 eV/atom
M_tot: 0.5195 μB/atom
formation enthalpy at 0 K: 0.207 eV per formula unit
crystal system: monoclinic

Cell: 6.6792 6.6792 7.9315 Å, 125.04 125.04 66.28°
Last column: nearest neighbours and their distance in Å.
Sites, in units of the cell vectors:
Cu  0.1151  0.8849  0.7500  10 Ni 2.48-2.66, 2 Rh 2.57
Cu  0.3652  0.6348  0.2500  8 Ni 2.50-2.64, 4 Rh 2.57-2.60
Cu  0.6348  0.3652  0.7500  8 Ni 2.50-2.64, 4 Rh 2.57-2.60
Cu  0.8849  0.1151  0.2500  10 Ni 2.48-2.66, 2 Rh 2.57
Ni  0.0233  0.7777  0.3523  3 Cu 2.48-2.53, 2 Rh 2.53-2.60, 7 Ni 2.53-2.60
Ni  0.0762  0.3277  0.0504  7 Ni 2.50-2.60, 3 Cu 2.53-2.55, 2 Rh 2.53-2.58
Ni  0.1742  0.4208  0.4470  5 Ni 2.51-2.56, 4 Rh 2.53-2.58, 3 Cu 2.53-2.66
Ni  0.2223  0.9767  0.1477  3 Cu 2.48-2.53, 2 Rh 2.53-2.60, 7 Ni 2.53-2.60
Ni  0.3277  0.0762  0.5504  7 Ni 2.50-2.60, 3 Cu 2.53-2.55, 2 Rh 2.53-2.58
Ni  0.4208  0.1742  0.9470  5 Ni 2.51-2.56, 4 Rh 2.53-2.58, 3 Cu 2.53-2.66
Ni  0.5792  0.8258  0.0530  5 Ni 2.51-2.56, 4 Rh 2.53-2.58, 3 Cu 2.53-2.66
Ni  0.6723  0.9238  0.4496  7 Ni 2.50-2.60, 3 Cu 2.53-2.55, 2 Rh 2.53-2.58
Ni  0.7777  0.0233  0.8523  3 Cu 2.48-2.53, 2 Rh 2.53-2.60, 7 Ni 2.53-2.60
Ni  0.8258  0.5792  0.5530  5 Ni 2.51-2.56, 4 Rh 2.53-2.58, 3 Cu 2.53-2.66
Ni  0.9238  0.6723  0.9496  7 Ni 2.50-2.60, 3 Cu 2.53-2.55, 2 Rh 2.53-2.58
Ni  0.9767  0.2223  0.6477  3 Cu 2.48-2.53, 2 Rh 2.53-2.60, 7 Ni 2.53-2.60
Rh  0.2691  0.5246  0.8448  8 Ni 2.53-2.60, 3 Cu 2.57-2.60, 1 Rh 2.66
Rh  0.4754  0.7309  0.6552  8 Ni 2.53-2.60, 3 Cu 2.57-2.60, 1 Rh 2.66
Rh  0.5246  0.2691  0.3448  8 Ni 2.53-2.60, 3 Cu 2.57-2.60, 1 Rh 2.66
Rh  0.7309  0.4754  0.1552  8 Ni 2.53-2.60, 3 Cu 2.57-2.60, 1 Rh 2.66

***

The following is a DFT calculation (PBE) of an optimized crystal structure of Cu6Ni5Rh.

DFT total energy: -60.00 eV per formula unit
space group: P2/m, No. 10
M_tot: 0.1563 μB/atom
formation enthalpy at 0 K: 0.831 eV per formula unit
crystal system: monoclinic

Cell: 4.4391 5.0648 6.2453 Å, 90.00 90.93 90.00°
Last column: nearest neighbours and their distance in Å.
Sites, in units of the cell vectors:
Cu  0.0000  0.2448  0.0000  4 Cu 2.48-2.59, 6 Ni 2.54-2.57, 2 Rh 2.57
Cu  0.0000  0.7552  0.0000  4 Cu 2.48-2.59, 6 Ni 2.54-2.57, 2 Rh 2.57
Cu  0.3293  0.2474  0.3387  4 Cu 2.50-2.56, 7 Ni 2.52-2.59, 1 Rh 2.60
Cu  0.3293  0.7526  0.3387  4 Cu 2.50-2.56, 7 Ni 2.52-2.59, 1 Rh 2.60
Cu  0.6707  0.2474  0.6613  4 Cu 2.50-2.56, 7 Ni 2.52-2.59, 1 Rh 2.60
Cu  0.6707  0.7526  0.6613  4 Cu 2.50-2.56, 7 Ni 2.52-2.59, 1 Rh 2.60
Ni  0.1638  0.5000  0.6651  3 Ni 2.50-2.53, 8 Cu 2.53-2.59, 1 Rh 2.55
Ni  0.1688  0.0000  0.6672  8 Cu 2.52-2.56, 4 Ni 2.53-2.55
Ni  0.5000  0.0000  0.0000  2 Ni 2.53, 2 Rh 2.53, 8 Cu 2.54-2.58
Ni  0.8312  0.0000  0.3328  8 Cu 2.52-2.56, 4 Ni 2.53-2.55
Ni  0.8362  0.5000  0.3349  3 Ni 2.50-2.53, 8 Cu 2.53-2.59, 1 Rh 2.55
Rh  0.5000  0.5000  0.0000  4 Ni 2.53-2.55, 8 Cu 2.57-2.60

***

The following is a DFT calculation (PBE) of an optimized crystal structure of Cu3Ni4Rh.

DFT total energy: -40.81 eV per formula unit
space group: Imm2, No. 44
relative energy among the computed polymorphs: 0.197 eV/atom
M_tot: 0.3102 μB/atom
formation enthalpy at 0 K: 1.950 eV per formula unit
crystal system: orthorhombic

Cell: 5.4096 5.4096 5.4096 Å, 126.23 78.22 127.82°
Last column: nearest neighbours and their distance in Å.
Sites, in units of the cell vectors:
Cu  0.0000  0.0000  0.0000  2 Cu 2.37, 4 Ni 2.37-2.63, 2 Rh 2.45
Cu  0.0072  0.2509  0.7563  1 Cu 2.37, 4 Ni 2.38-2.45, 1 Rh 2.49
Cu  0.4946  0.2509  0.2437  1 Cu 2.37, 4 Ni 2.38-2.45, 1 Rh 2.49
Ni  0.5065  0.7514  0.7551  5 Cu 2.37-2.45, 1 Rh 2.42, 2 Ni 2.65
Ni  0.5113  0.2607  0.7495  4 Ni 2.44-2.65, 6 Cu 2.63-2.72, 2 Rh 2.65-2.69
Ni  0.5113  0.7618  0.2505  4 Ni 2.44-2.65, 6 Cu 2.63-2.72, 2 Rh 2.65-2.69
Ni  0.9964  0.7514  0.2449  5 Cu 2.37-2.45, 1 Rh 2.42, 2 Ni 2.65
Rh  0.0159  0.5159  0.5000  6 Ni 2.42-2.69, 4 Cu 2.45-2.49

***

The following is a DFT calculation (PBE) of an optimized crystal structure of CuNi2Rh9.

DFT total energy: -81.06 eV per formula unit
space group: P4/mmm, No. 123
M_tot: 0.5275 μB/atom
formation enthalpy at 0 K: 0.764 eV per formula unit
crystal system: tetragonal

Cell: 3.7975 3.7975 11.4045 Å, 90.00 90.00 90.00°
Last column: nearest neighbours and their distance in Å.
Sites, in units of the cell vectors:
Cu  0.0000  0.0000  0.0000  12 Rh 2.69-2.71
Ni  0.0000  0.0000  0.3326  12 Rh 2.66-2.69
Ni  0.0000  0.0000  0.6674  12 Rh 2.66-2.69
Rh  0.0000  0.5000  0.1691  2 Ni 2.66, 8 Rh 2.68-2.71, 2 Cu 2.71
Rh  0.0000  0.5000  0.5000  8 Rh 2.68-2.69, 4 Ni 2.69
Rh  0.0000  0.5000  0.8309  2 Ni 2.66, 8 Rh 2.68-2.71, 2 Cu 2.71
Rh  0.5000  0.0000  0.1691  2 Ni 2.66, 8 Rh 2.68-2.71, 2 Cu 2.71
Rh  0.5000  0.0000  0.5000  8 Rh 2.68-2.69, 4 Ni 2.69
Rh  0.5000  0.0000  0.8309  2 Ni 2.66, 8 Rh 2.68-2.71, 2 Cu 2.71
Rh  0.5000  0.5000  0.0000  4 Cu 2.69, 8 Rh 2.71
Rh  0.5000  0.5000  0.3345  8 Rh 2.68, 4 Ni 2.69
Rh  0.5000  0.5000  0.6655  8 Rh 2.68, 4 Ni 2.69

***

The following is a DFT calculation (PBE) of an optimized crystal structure of Cu12Ni6Rh.

DFT total energy: -89.22 eV per formula unit
space group: R-3, No. 148
M_tot: 0.0000 μB/atom
formation enthalpy at 0 K: 1.977 eV per formula unit
crystal system: trigonal

Cell: 6.1471 6.1471 6.1471 Å, 89.84 89.84 89.84°
Last column: nearest neighbours and their distance in Å.
Sites, in units of the cell vectors:
Cu  0.0189  0.9267  0.3062  4 Ni 2.47-2.53, 5 Cu 2.48-2.63
Cu  0.0733  0.6938  0.9811  4 Ni 2.47-2.53, 5 Cu 2.48-2.63
Cu  0.1201  0.4643  0.3395  4 Ni 2.48-2.59, 5 Cu 2.50-2.63, 1 Rh 2.55
Cu  0.3062  0.0189  0.9267  4 Ni 2.47-2.53, 5 Cu 2.48-2.63
Cu  0.3395  0.1201  0.4643  4 Ni 2.48-2.59, 5 Cu 2.50-2.63, 1 Rh 2.55
Cu  0.4643  0.3395  0.1201  4 Ni 2.48-2.59, 5 Cu 2.50-2.63, 1 Rh 2.55
Cu  0.5357  0.6605  0.8799  4 Ni 2.48-2.59, 5 Cu 2.50-2.63, 1 Rh 2.55
Cu  0.6605  0.8799  0.5357  4 Ni 2.48-2.59, 5 Cu 2.50-2.63, 1 Rh 2.55
Cu  0.6938  0.9811  0.0733  4 Ni 2.47-2.53, 5 Cu 2.48-2.63
Cu  0.8799  0.5357  0.6605  4 Ni 2.48-2.59, 5 Cu 2.50-2.63, 1 Rh 2.55
Cu  0.9267  0.3062  0.0189  4 Ni 2.47-2.53, 5 Cu 2.48-2.63
Cu  0.9811  0.0733  0.6938  4 Ni 2.47-2.53, 5 Cu 2.48-2.63
Ni  0.2254  0.7638  0.6147  1 Rh 2.44, 8 Cu 2.47-2.59, 2 Ni 2.52
Ni  0.2362  0.3853  0.7746  1 Rh 2.44, 8 Cu 2.47-2.59, 2 Ni 2.52
Ni  0.3853  0.7746  0.2362  1 Rh 2.44, 8 Cu 2.47-2.59, 2 Ni 2.52
Ni  0.6147  0.2254  0.7638  1 Rh 2.44, 8 Cu 2.47-2.59, 2 Ni 2.52
Ni  0.7638  0.6147  0.2254  1 Rh 2.44, 8 Cu 2.47-2.59, 2 Ni 2.52
Ni  0.7746  0.2362  0.3853  1 Rh 2.44, 8 Cu 2.47-2.59, 2 Ni 2.52
Rh  0.5000  0.5000  0.5000  6 Ni 2.44, 6 Cu 2.55

***

The following is a DFT calculation (PBE) of an optimized crystal structure of Cu2NiRh.

DFT total energy: -21.16 eV per formula unit
space group: P4mm, No. 99
relative energy among the computed polymorphs: 0.000 eV/atom
M_tot: 0.2806 μB/atom
formation enthalpy at 0 K: 0.164 eV per formula unit
crystal system: tetragonal

Cell: 2.6449 2.6449 7.0765 Å, 90.00 90.00 90.00°
Last column: nearest neighbours and their distance in Å.
Sites, in units of the cell vectors:
Cu  0.0000  0.0000  0.0000  8 Cu 2.54-2.64, 4 Rh 2.67
Cu  0.5000  0.5000  0.2438  4 Ni 2.52, 8 Cu 2.54-2.64
Ni  0.0000  0.0000  0.4831  4 Cu 2.52, 4 Rh 2.57, 4 Ni 2.64
Rh  0.5000  0.5000  0.7315  4 Ni 2.57, 4 Rh 2.64, 4 Cu 2.67

***

The following is a DFT calculation (PBE) of an optimized crystal structure of Cu7Ni2Rh2.

DFT total energy: -53.20 eV per formula unit
space group: C2/m, No. 12
relative energy among the computed polymorphs: 0.000 eV/atom
M_tot: 0.0211 μB/atom
formation enthalpy at 0 K: 1.737 eV per formula unit
crystal system: monoclinic

Cell: 5.8801 5.8801 4.5061 Å, 108.98 108.98 87.30°
Last column: nearest neighbours and their distance in Å.
Sites, in units of the cell vectors:
Cu  0.0000  0.0000  0.0000  4 Cu 2.38, 2 Ni 2.45
Cu  0.0756  0.5839  0.8373  4 Cu 2.38-2.59, 2 Ni 2.38-2.51, 2 Rh 2.58-2.59
Cu  0.4121  0.4121  0.1848  3 Ni 2.47-2.60, 4 Cu 2.49-2.69
Cu  0.4161  0.9244  0.1627  4 Cu 2.38-2.59, 2 Ni 2.38-2.51, 2 Rh 2.58-2.59
Cu  0.5839  0.0756  0.8373  4 Cu 2.38-2.59, 2 Ni 2.38-2.51, 2 Rh 2.58-2.59
Cu  0.5879  0.5879  0.8152  3 Ni 2.47-2.60, 4 Cu 2.49-2.69
Cu  0.9244  0.4161  0.1627  4 Cu 2.38-2.59, 2 Ni 2.38-2.51, 2 Rh 2.58-2.59
Ni  0.2606  0.2606  0.5400  8 Cu 2.38-2.60, 2 Rh 2.59
Ni  0.7394  0.7394  0.4600  8 Cu 2.38-2.60, 2 Rh 2.59
Rh  0.1791  0.8209  0.5000  8 Cu 2.58-2.72, 2 Ni 2.59
Rh  0.8209  0.1791  0.5000  8 Cu 2.58-2.72, 2 Ni 2.59

***

The following is a DFT calculation (PBE) of an optimized crystal structure of Cu5NiRh.

DFT total energy: -32.59 eV per formula unit
space group: C2/c, No. 15
M_tot: 0.0000 μB/atom
formation enthalpy at 0 K: 1.027 eV per formula unit
crystal system: monoclinic

Cell: 4.6930 4.6930 8.4629 Å, 102.34 102.34 97.47°
Last column: nearest neighbours and their distance in Å.
Sites, in units of the cell vectors:
Cu  0.0725  0.2767  0.0377  5 Cu 2.38-2.65, 2 Ni 2.46-2.54, 1 Rh 2.57
Cu  0.0908  0.9092  0.7500  4 Cu 2.38-2.49, 1 Ni 2.40, 2 Rh 2.45
Cu  0.2767  0.0725  0.5377  5 Cu 2.38-2.65, 2 Ni 2.46-2.54, 1 Rh 2.57
Cu  0.3211  0.4458  0.8404  4 Cu 2.42-2.65, 2 Ni 2.52-2.60, 1 Rh 2.60
Cu  0.4458  0.3211  0.3404  4 Cu 2.42-2.65, 2 Ni 2.52-2.60, 1 Rh 2.60
Cu  0.5542  0.6789  0.6596  4 Cu 2.42-2.65, 2 Ni 2.52-2.60, 1 Rh 2.60
Cu  0.6789  0.5542  0.1596  4 Cu 2.42-2.65, 2 Ni 2.52-2.60, 1 Rh 2.60
Cu  0.7233  0.9275  0.4623  5 Cu 2.38-2.65, 2 Ni 2.46-2.54, 1 Rh 2.57
Cu  0.9092  0.0908  0.2500  4 Cu 2.38-2.49, 1 Ni 2.40, 2 Rh 2.45
Cu  0.9275  0.7233  0.9623  5 Cu 2.38-2.65, 2 Ni 2.46-2.54, 1 Rh 2.57
Ni  0.2492  0.7508  0.2500  9 Cu 2.40-2.60
Ni  0.7508  0.2492  0.7500  9 Cu 2.40-2.60
Rh  0.0000  0.5000  0.5000  6 Cu 2.45-2.60
Rh  0.5000  0.0000  0.0000  6 Cu 2.45-2.60

***

The following is a DFT calculation (PBE) of an optimized crystal structure of CuNi12Rh3.

DFT total energy: -92.59 eV per formula unit
space group: R3c, No. 161
M_tot: 0.6518 μB/atom
formation enthalpy at 0 K: 2.938 eV per formula unit
crystal system: trigonal

Cell: 7.6649 7.6649 7.6649 Å, 105.73 105.73 105.73°
Last column: nearest neighbours and their distance in Å.
Sites, in units of the cell vectors:
Cu  0.0000  0.0000  0.0000  9 Ni 2.49-2.59
Cu  0.5000  0.5000  0.5000  9 Ni 2.49-2.59
Ni  0.0644  0.9735  0.3849  6 Ni 2.31-2.56, 3 Rh 2.43-2.48
Ni  0.0880  0.7440  0.1043  7 Ni 2.38-2.59, 1 Cu 2.49, 2 Rh 2.55-2.59
Ni  0.0978  0.2866  0.3237  8 Ni 2.37-2.61, 1 Cu 2.59, 1 Rh 2.62
Ni  0.1043  0.0880  0.7440  7 Ni 2.38-2.59, 1 Cu 2.49, 2 Rh 2.55-2.59
Ni  0.1187  0.7748  0.8037  5 Ni 2.31-2.44, 1 Cu 2.50
Ni  0.2440  0.5880  0.6043  7 Ni 2.38-2.59, 1 Cu 2.49, 2 Rh 2.55-2.59
Ni  0.2748  0.6187  0.3037  5 Ni 2.31-2.44, 1 Cu 2.50
Ni  0.2866  0.3237  0.0979  8 Ni 2.37-2.61, 1 Cu 2.59, 1 Rh 2.62
Ni  0.3037  0.2748  0.6187  5 Ni 2.31-2.44, 1 Cu 2.50
Ni  0.3237  0.0979  0.2866  8 Ni 2.37-2.61, 1 Cu 2.59, 1 Rh 2.62
Ni  0.3849  0.0644  0.9735  6 Ni 2.31-2.56, 3 Rh 2.43-2.48
Ni  0.4735  0.5644  0.8849  6 Ni 2.31-2.56, 3 Rh 2.43-2.48
Ni  0.5644  0.8849  0.4735  6 Ni 2.31-2.56, 3 Rh 2.43-2.48
Ni  0.5880  0.6043  0.2440  7 Ni 2.38-2.59, 1 Cu 2.49, 2 Rh 2.55-2.59
Ni  0.5978  0.8237  0.7866  8 Ni 2.37-2.61, 1 Cu 2.59, 1 Rh 2.62
Ni  0.6043  0.2440  0.5880  7 Ni 2.38-2.59, 1 Cu 2.49, 2 Rh 2.55-2.59
Ni  0.6187  0.3037  0.2748  5 Ni 2.31-2.44, 1 Cu 2.50
Ni  0.7440  0.1043  0.0880  7 Ni 2.38-2.59, 1 Cu 2.49, 2 Rh 2.55-2.59
Ni  0.7748  0.8037  0.1187  5 Ni 2.31-2.44, 1 Cu 2.50
Ni  0.7866  0.5978  0.8237  8 Ni 2.37-2.61, 1 Cu 2.59, 1 Rh 2.62
Ni  0.8037  0.1187  0.7748  5 Ni 2.31-2.44, 1 Cu 2.50
Ni  0.8237  0.7866  0.5978  8 Ni 2.37-2.61, 1 Cu 2.59, 1 Rh 2.62
Ni  0.8848  0.4735  0.5644  6 Ni 2.31-2.56, 3 Rh 2.43-2.48
Ni  0.9735  0.3849  0.0644  6 Ni 2.31-2.56, 3 Rh 2.43-2.48
Rh  0.1213  0.4452  0.8326  7 Ni 2.43-2.62
Rh  0.3326  0.9452  0.6213  7 Ni 2.43-2.62
Rh  0.4452  0.8326  0.1213  7 Ni 2.43-2.62
Rh  0.6213  0.3326  0.9452  7 Ni 2.43-2.62
Rh  0.8326  0.1213  0.4452  7 Ni 2.43-2.62
Rh  0.9452  0.6213  0.3326  7 Ni 2.43-2.62

***

The following is a DFT calculation (PBE) of an optimized crystal structure of CuNi2Rh8.

DFT total energy: -72.53 eV per formula unit
space group: Immm, No. 71
M_tot: 0.0706 μB/atom
formation enthalpy at 0 K: 1.945 eV per formula unit
crystal system: orthorhombic

Cell: 6.9299 6.9299 6.9299 Å, 146.75 121.96 68.56°
Last column: nearest neighbours and their distance in Å.
Sites, in units of the cell vectors:
Cu  0.0000  0.0000  0.0000  12 Rh 2.60-2.85
Ni  0.3012  0.3012  0.0000  10 Rh 2.51-2.63
Ni  0.6988  0.6988  0.0000  10 Rh 2.51-2.63
Rh  0.1321  0.8465  0.2856  3 Ni 2.51-2.56, 1 Cu 2.60, 5 Rh 2.65-2.76
Rh  0.1512  0.6512  0.5000  2 Ni 2.62, 2 Cu 2.63, 8 Rh 2.66-2.76
Rh  0.3042  0.5000  0.8042  2 Ni 2.63, 7 Rh 2.63-2.68, 2 Cu 2.85
Rh  0.4392  0.1535  0.2856  3 Ni 2.51-2.56, 1 Cu 2.60, 5 Rh 2.65-2.76
Rh  0.5608  0.8465  0.7144  3 Ni 2.51-2.56, 1 Cu 2.60, 5 Rh 2.65-2.76
Rh  0.6958  0.5000  0.1958  2 Ni 2.63, 7 Rh 2.63-2.68, 2 Cu 2.85
Rh  0.8488  0.3488  0.5000  2 Ni 2.62, 2 Cu 2.63, 8 Rh 2.66-2.76
Rh  0.8679  0.1535  0.7144  3 Ni 2.51-2.56, 1 Cu 2.60, 5 Rh 2.65-2.76

***

The following is a DFT calculation (PBE) of an optimized crystal structure of CuNi2Rh2.

DFT total energy: -28.96 eV per formula unit
space group: P4/mbm, No. 127
relative energy among the computed polymorphs: 0.076 eV/atom
M_tot: 0.3673 μB/atom
formation enthalpy at 0 K: 1.400 eV per formula unit
crystal system: tetragonal

Cell: 7.1409 7.1409 2.6629 Å, 90.00 90.00 90.00°
Last column: nearest neighbours and their distance in Å.
Sites, in units of the cell vectors:
Cu  0.0000  0.0000  0.0000  2 Cu 2.66, 4 Rh 2.79, 8 Ni 2.98
Cu  0.5000  0.5000  0.0000  2 Cu 2.66, 4 Rh 2.79, 8 Ni 2.98
Ni  0.1666  0.3334  0.5000  6 Rh 2.43-2.53, 2 Ni 2.66
Ni  0.3334  0.8334  0.5000  6 Rh 2.43-2.53, 2 Ni 2.66
Ni  0.6666  0.1666  0.5000  6 Rh 2.43-2.53, 2 Ni 2.66
Ni  0.8334  0.6666  0.5000  6 Rh 2.43-2.53, 2 Ni 2.66
Rh  0.1320  0.6320  0.0000  6 Ni 2.43-2.53, 3 Rh 2.66-2.67
Rh  0.3680  0.1320  0.0000  6 Ni 2.43-2.53, 3 Rh 2.66-2.67
Rh  0.6320  0.8680  0.0000  6 Ni 2.43-2.53, 3 Rh 2.66-2.67
Rh  0.8680  0.3680  0.0000  6 Ni 2.43-2.53, 3 Rh 2.66-2.67

***

The following is a DFT calculation (PBE) of an optimized crystal structure of CuNi5Rh2.

DFT total energy: -47.26 eV per formula unit
space group: I4/mmm, No. 139
relative energy among the computed polymorphs: 0.000 eV/atom
M_tot: 0.5739 μB/atom
formation enthalpy at 0 K: 0.447 eV per formula unit
crystal system: tetragonal

Cell: 7.5409 7.5409 7.5409 Å, 151.71 151.71 40.44°
Last column: nearest neighbours and their distance in Å.
Sites, in units of the cell vectors:
Cu  0.0000  0.0000  0.0000  12 Ni 2.51-2.61
Ni  0.1202  0.6202  0.5000  6 Ni 2.51-2.61, 2 Cu 2.51, 4 Rh 2.59-2.61
Ni  0.3798  0.8798  0.5000  2 Cu 2.51, 6 Ni 2.51-2.61, 4 Rh 2.59-2.61
Ni  0.5000  0.5000  0.0000  8 Ni 2.51, 4 Cu 2.61
Ni  0.6202  0.1202  0.5000  6 Ni 2.51-2.61, 2 Cu 2.51, 4 Rh 2.59-2.61
Ni  0.8798  0.3798  0.5000  2 Cu 2.51, 6 Ni 2.51-2.61, 4 Rh 2.59-2.61
Rh  0.2489  0.2489  0.0000  8 Ni 2.59-2.61, 4 Rh 2.61
Rh  0.7511  0.7511  0.0000  8 Ni 2.59-2.61, 4 Rh 2.61